## ZrCoGe (PBE)

Data for a geometry-optimized ZrCoGe structure.

Cell: 6.570 3.949 7.238 Å, 90.00 90.00 90.00°
Element x y z (fractional)
Ge 0.276 0.750 0.896
Ge 0.776 0.750 0.604
Ge 0.724 0.250 0.104
Ge 0.224 0.250 0.396
Co 0.858 0.250 0.430
Co 0.358 0.250 0.070
Co 0.142 0.750 0.570
Co 0.642 0.750 0.930
Zr 0.493 0.250 0.699
Zr 0.993 0.250 0.801
Zr 0.507 0.750 0.301
Zr 0.007 0.750 0.199

Results
**E_tot**: -22.4 eV/f.u.
**Total moment**: 0.02 μB per formula unit

=====

## Zr2Co2Ge (PBE)

Data for a geometry-optimized Zr2Co2Ge structure.

Cell: 6.349 6.291 8.242 Å, 49.60 48.99 81.40°
Element x y z (fractional)
Co 0.581 0.843 0.515
Co 0.735 0.189 0.669
Co 0.843 0.581 0.061
Co 0.189 0.735 0.407
Zr 0.776 0.155 0.977
Zr 0.155 0.776 0.092
Zr 0.158 0.273 0.095
Zr 0.273 0.158 0.474
Ge 0.726 0.726 0.774
Ge 0.476 0.476 0.524

Results
**E_tot**: -37.3 eV/f.u.
**Total moment**: 0.01 μB per formula unit

=====

## Zr4Co3Ge (PBE)

Data for a geometry-optimized Zr4Co3Ge structure.

Cell: 5.357 3.972 6.462 Å, 90.00 90.24 90.00°
Element x y z (fractional)
Zr 0.367 0.500 0.656
Zr 0.864 0.000 0.818
Zr 0.652 0.000 0.328
Zr 0.120 0.500 0.194
Co 0.154 0.000 0.456
Co 0.639 0.500 0.035
Co 0.844 0.500 0.551
Ge 0.361 0.000 0.962

Results
**E_tot**: -63.6 eV/f.u.
**Total moment**: 0.01 μB per formula unit

=====

## Co5H (PBE)

Data for a geometry-optimized Co5H structure.

Cell: 4.501 4.501 4.128 Å, 90.00 90.00 120.00°
Element x y z (fractional)
Co 0.500 0.000 0.500
Co 0.667 0.333 0.000
Co 0.500 0.500 0.500
Co 0.333 0.667 0.000
Co 0.000 0.500 0.500
H 0.000 0.000 0.000

Results
**E_tot**: -34.1 eV/f.u.
**Total moment**: 8.82 μB per formula unit

=====

## CoH4 (PBE)

Data for a geometry-optimized CoH4 structure.

Cell: 2.515 2.516 4.545 Å, 105.13 105.39 90.04°
Element x y z (fractional)
H 0.116 0.614 0.243
H 0.616 0.114 0.243
H 0.884 0.386 0.757
H 0.384 0.886 0.757
Co 0.000 0.000 0.000

Results
**E_tot**: -19.7 eV/f.u.
**Total moment**: 0.00 μB per formula unit

=====

## CoH5 (PBE)

Data for a geometry-optimized CoH5 structure.

Cell: 6.977 6.977 6.977 Å, 157.14 157.14 32.55°
Element x y z (fractional)
H 0.500 0.000 0.500
H 0.210 0.210 0.000
H 0.337 0.837 0.500
H 0.837 0.337 0.500
H 0.000 0.500 0.500
H 0.406 0.406 0.000
H 0.594 0.594 0.000
H 0.790 0.790 0.000
H 0.163 0.663 0.500
H 0.663 0.163 0.500
Co 0.902 0.902 0.000
Co 0.098 0.098 0.000

Results
**E_tot**: -21.7 eV/f.u.
**Total moment**: 0.00 μB per formula unit

=====

## Co2H3 (PBE)

Data for a geometry-optimized Co2H3 structure.

Cell: 4.358 4.358 4.309 Å, 120.37 59.63 120.00°
Element x y z (fractional)
Co 0.127 0.873 0.618
Co 0.873 0.127 0.382
Co 0.373 0.627 0.882
Co 0.627 0.373 0.118
H 0.250 0.021 0.250
H 0.750 0.979 0.750
H 0.479 0.250 0.750
H 0.979 0.479 0.250
H 0.021 0.521 0.750
H 0.521 0.750 0.250

Results
**E_tot**: -23.5 eV/f.u.
**Total moment**: 0.85 μB per formula unit

=====

## CoNi2H6Ir (PBE)

Data for a geometry-optimized CoNi2H6Ir structure.

Cell: 4.624 4.624 4.624 Å, 60.00 60.00 60.00°
Element x y z (fractional)
Ni 0.750 0.750 0.750
Ni 0.250 0.250 0.250
H 0.242 0.242 0.758
H 0.758 0.758 0.242
H 0.242 0.758 0.242
H 0.758 0.242 0.242
H 0.242 0.758 0.758
H 0.758 0.242 0.758
Ir 0.500 0.500 0.500
Co 0.000 0.000 0.000

Results
**E_tot**: -44.6 eV/f.u.
**Total moment**: 1.42 μB per formula unit

=====

## Y2CoH6Ir (PBE)

Data for a geometry-optimized Y2CoH6Ir structure.

Cell: 5.072 5.072 5.072 Å, 60.00 60.00 60.00°
Element x y z (fractional)
H 0.260 0.740 0.740
H 0.740 0.260 0.260
H 0.740 0.740 0.260
H 0.260 0.260 0.740
H 0.260 0.740 0.260
H 0.740 0.260 0.740
Y 0.750 0.750 0.750
Y 0.250 0.250 0.250
Ir 0.000 0.000 0.000
Co 0.500 0.500 0.500

Results
**E_tot**: -53.6 eV/f.u.
**Total moment**: 0.00 μB per formula unit

=====

## KCoH3 (PBE)

Data for a geometry-optimized KCoH3 structure.

Cell: 5.878 4.831 8.730 Å, 90.00 111.86 90.00°
Element x y z (fractional)
H 0.197 0.482 0.530
H 0.197 0.018 0.530
H 0.197 0.018 0.030
H 0.803 0.982 0.470
H 0.104 0.750 0.203
H 0.896 0.250 0.297
H 0.197 0.482 0.030
H 0.803 0.518 0.470
H 0.803 0.518 0.970
H 0.896 0.250 0.797
H 0.104 0.750 0.703
H 0.803 0.982 0.970
K 0.643 0.750 0.672
K 0.357 0.250 0.828
K 0.643 0.750 0.172
K 0.357 0.250 0.328
Co 0.031 0.750 0.018
Co 0.031 0.750 0.518
Co 0.969 0.250 0.982
Co 0.969 0.250 0.482

Results
**E_tot**: -18.3 eV/f.u.
**Total moment**: 0.01 μB per formula unit

=====

## KCoH4 (PBE)

Data for a geometry-optimized KCoH4 structure.

Cell: 5.142 5.142 5.142 Å, 119.28 119.28 91.25°
Element x y z (fractional)
H 0.417 0.130 0.899
H 0.333 0.120 0.601
H 0.870 0.769 0.287
H 0.483 0.583 0.713
H 0.880 0.481 0.213
H 0.231 0.517 0.101
H 0.519 0.733 0.399
H 0.267 0.667 0.787
Co 0.250 0.750 0.500
Co 0.500 0.500 0.000
K 0.000 0.000 0.000
K 0.750 0.250 0.500

Results
**E_tot**: -21.1 eV/f.u.
**Total moment**: 0.01 μB per formula unit